[1]
DFT (PBE) results for LiMn3Co after structural relaxation.

Results
E_form: 766 meV/atom
Spin magnetization: 13.12 μB/f.u.
Raw total energy: -6.5396 eV/atom

abc: 4.5772 4.5772 4.5772
angles: 90.00 90.00 90.00
Space group Pm-3m (No. 221)
Symmetry-distinct sites (fractional):
Li1 0.0000 0.0000 0.0000 x1
Mn1 0.0000 0.5000 0.5000 x3
Co1 0.5000 0.5000 0.5000 x1

[2]
DFT (PBE) results for Na2LiMnCo after structural relaxation.

Results
E_form: 1086 meV/atom
Spin magnetization: 5.67 μB/f.u.
Raw total energy: -3.0793 eV/atom

abc: 5.2657 5.2657 4.6524
angles: 90.00 90.00 90.00
Space group P4/mmm (No. 123)
Symmetry-distinct sites (fractional):
Na1 0.0000 0.5000 0.0000 x2
Li1 0.0000 0.0000 0.5000 x1
Mn1 0.5000 0.5000 0.5000 x1
Co1 0.0000 0.0000 0.0000 x1

[3]
DFT (PBE) results for Li2MnNbCo after structural relaxation.

Results
E_form: 1867 meV/atom
Spin magnetization: 0.92 μB/f.u.
Raw total energy: -4.1673 eV/atom

abc: 4.6144 4.6144 4.2441
angles: 90.00 90.00 90.00
Space group P4/mmm (No. 123)
Symmetry-distinct sites (fractional):
Li1 0.0000 0.5000 0.0000 x2
Mn1 0.0000 0.0000 0.5000 x1
Nb1 0.5000 0.5000 0.0000 x1
Co1 0.5000 0.5000 0.5000 x1

[4]
DFT (PBE) results for Li2MnCoNi after structural relaxation.

Results
E_form: 1146 meV/atom
Spin magnetization: 6.09 μB/f.u.
Raw total energy: -4.0306 eV/atom

abc: 4.4104 4.4104 4.3282
angles: 90.00 90.00 90.00
Space group P4/mmm (No. 123)
Symmetry-distinct sites (fractional):
Li1 0.0000 0.5000 0.0000 x2
Mn1 0.0000 0.0000 0.0000 x1
Co1 0.5000 0.5000 0.5000 x1
Ni1 0.0000 0.0000 0.5000 x1

Q: Which of these has the lowest E_form?
A: LiMn3Co

Q: Look up the raw total energy of the second one.
A: -3.0793 eV/atom